The following is a DFT calculation (GGA-PBE) of a relaxed structure of KSrLa.

Summary:
The density of states at the Fermi level is 4.902 states/eV/f.u. The space-group type is I4mm (107). The calculation puts the formation energy at 77 kJ/mol of formula units.

Cell lengths 10.318, 10.318, 10.318 Å; angles 158.17, 158.17, 31.07 degrees
Sites, in units of the cell vectors:
K (0.995, 0.995, 0.000)
La (0.325, 0.325, 0.000)
Sr (0.680, 0.680, 0.000)


The following is a DFT calculation (GGA-PBE) of a relaxed structure of InOsO2.

Summary:
As for the uncorrected formation energy: -0.155 eV per atom. The density of states at the Fermi level is 2.034 states/eV/f.u. The space-group type is I-42d (122).

Cell lengths 5.066, 5.066, 6.559 Å; angles 67.28, 67.28, 90.00 degrees
Sites, in units of the cell vectors:
Os (0.000, 0.000, 0.000)
Os (0.750, 0.250, 0.500)
O (0.772, 0.125, 0.250)
O (0.978, 0.625, 0.250)
O (0.375, 0.228, 0.750)
O (0.875, 0.022, 0.750)
In (0.500, 0.500, 0.000)
In (0.250, 0.750, 0.500)